[1]
DFT (GGA-PBE) results for crystalline TaTcNi at its relaxed geometry.

Structure (CIF):
```
data_TaTcNi
_cell_length_a 3.349
_cell_length_b 4.249
_cell_length_c 12.278
_cell_angle_alpha 90.00
_cell_angle_beta 90.00
_cell_angle_gamma 90.00
_symmetry_space_group_name_H-M 'F m m 2'
_symmetry_Int_Tables_number 42
_symmetry_space_group_name_Hall 'F 2 -2'
loop_
_atom_site_label
_atom_site_fract_x
_atom_site_fract_y
_atom_site_fract_z
Ta1 0.000 0.000 0.000
Tc1 0.000 0.000 0.681
Ni1 0.000 0.000 0.336
```

**Formation energy from the elements**: -0.0288 eV/atom
**DOS at the Fermi energy**: 9.8 states/eV per cell
**E_tot**: -9.362 eV per atom
**M_tot**: 0.00 μB per formula unit

---

[2]
DFT (GGA-PBE) results for crystalline Ta2TcNi at its relaxed geometry.

Structure (CIF):
```
data_Ta2TcNi
_cell_length_a 2.727
_cell_length_b 2.727
_cell_length_c 8.375
_cell_angle_alpha 90.00
_cell_angle_beta 90.00
_cell_angle_gamma 90.00
_symmetry_space_group_name_H-M 'P 4 m m'
_symmetry_Int_Tables_number 99
loop_
_symmetry_equiv_pos_as_xyz
'x,y,z'
'-y,x,z'
'-x,-y,z'
'y,-x,z'
'-x,y,z'
'y,x,z'
'x,-y,z'
'-y,-x,z'
loop_
_atom_site_label
_atom_site_fract_x
_atom_site_fract_y
_atom_site_fract_z
Ta1 0.000 0.000 0.000
Ta2 0.500 0.500 0.284
Tc1 0.000 0.000 0.556
Ni1 0.500 0.500 0.760
```

**Formation energy from the elements**: 0.0234 eV/atom
**DOS at the Fermi energy**: 3.3 states/eV per cell
**E_tot**: -9.940 eV per atom
**M_tot**: 0.00 μB per formula unit

---

[3]
DFT (GGA-PBE) results for crystalline TaTcNi at its relaxed geometry.

Structure (CIF):
```
data_TaTcNi
_cell_length_a 4.3915
_cell_length_b 4.3915
_cell_length_c 2.6440
_cell_angle_alpha 90.00
_cell_angle_beta 90.00
_cell_angle_gamma 120.00
_symmetry_space_group_name_H-M 'P 3 m 1'
_symmetry_Int_Tables_number 156
loop_
_symmetry_equiv_pos_as_xyz
'x,y,z'
'-y,x-y,z'
'-x+y,-x,z'
'-y,-x,z'
'-x+y,y,z'
'x,x-y,z'
loop_
_atom_site_label
_atom_site_fract_x
_atom_site_fract_y
_atom_site_fract_z
Ta1 0.0000 0.0000 0.0000
Tc1 0.3333 0.6667 0.3372
Ni1 0.6667 0.3333 0.7667
```

**Formation energy from the elements**: -0.0156 eV/atom
**DOS at the Fermi energy**: 3.3 states/eV per cell
**E_tot**: -9.349 eV per atom
**M_tot**: 0.00 μB per formula unit

---

[4]
DFT (GGA-PBE) results for crystalline TaTcNi at its relaxed geometry.

Structure (CIF):
```
data_TaTcNi
_cell_length_a 2.678
_cell_length_b 3.862
_cell_length_c 8.528
_cell_angle_alpha 90.00
_cell_angle_beta 90.00
_cell_angle_gamma 90.00
_symmetry_space_group_name_H-M 'I m m 2'
_symmetry_Int_Tables_number 44
loop_
_symmetry_equiv_pos_as_xyz
'x,y,z'
'-x,-y,z'
'-x,y,z'
'x,-y,z'
'x+1/2,y+1/2,z+1/2'
'-x+1/2,-y+1/2,z+1/2'
'-x+1/2,y+1/2,z+1/2'
'x+1/2,-y+1/2,z+1/2'
loop_
_atom_site_label
_atom_site_fract_x
_atom_site_fract_y
_atom_site_fract_z
Ta1 0.000 0.000 0.000
Tc1 0.000 0.000 0.679
Ni1 0.000 0.000 0.329
```

**Formation energy from the elements**: 0.0086 eV/atom
**DOS at the Fermi energy**: 7.3 states/eV per cell
**E_tot**: -9.325 eV per atom
**M_tot**: 0.00 μB per formula unit

---

[5]
DFT (GGA-PBE) results for crystalline Ta2TcNi at its relaxed geometry.

Structure (CIF):
```
data_Ta2TcNi
_cell_length_a 3.857
_cell_length_b 3.857
_cell_length_c 8.377
_cell_angle_alpha 90.00
_cell_angle_beta 90.00
_cell_angle_gamma 90.00
_symmetry_space_group_name_H-M 'I -4 m 2'
_symmetry_Int_Tables_number 119
_symmetry_space_group_name_Hall 'I -4 -2'
loop_
_atom_site_label
_atom_site_fract_x
_atom_site_fract_y
_atom_site_fract_z
Ta1 0.000 0.000 0.000
Ta2 0.000 0.500 0.250
Tc1 0.000 0.500 0.750
Ni1 0.000 0.000 0.500
```

**Formation energy from the elements**: -0.0585 eV/atom
**DOS at the Fermi energy**: 8.2 states/eV per cell
**E_tot**: -10.022 eV per atom
**M_tot**: 0.00 μB per formula unit

---

[6]
DFT (GGA-PBE) results for crystalline TaTc2Ni at its relaxed geometry.

Structure (CIF):
```
data_TaTc2Ni
_cell_length_a 3.811
_cell_length_b 3.811
_cell_length_c 3.980
_cell_angle_alpha 90.00
_cell_angle_beta 90.00
_cell_angle_gamma 90.00
_symmetry_space_group_name_H-M 'P 4/m m m'
_symmetry_Int_Tables_number 123
_symmetry_space_group_name_Hall '-P 4 2'
loop_
_atom_site_label
_atom_site_fract_x
_atom_site_fract_y
_atom_site_fract_z
Ta1 0.000 0.000 0.000
Tc1 0.000 0.500 0.500
Ni1 0.500 0.500 0.000
```

**Formation energy from the elements**: -0.1605 eV/atom
**DOS at the Fermi energy**: 2.6 states/eV per cell
**E_tot**: -9.752 eV per atom
**M_tot**: 0.00 μB per formula unit

---

[7]
DFT (GGA-PBE) results for crystalline TaTc2Ni at its relaxed geometry.

Structure (CIF):
```
data_TaTc2Ni
_cell_length_a 3.669
_cell_length_b 3.669
_cell_length_c 18.686
_cell_angle_alpha 90.00
_cell_angle_beta 90.00
_cell_angle_gamma 90.00
_symmetry_space_group_name_H-M 'I -4 2 d'
_symmetry_Int_Tables_number 122
_symmetry_space_group_name_Hall 'I -4 2bw'
loop_
_atom_site_label
_atom_site_fract_x
_atom_site_fract_y
_atom_site_fract_z
Ta1 0.000 0.000 0.000
Tc1 0.220 0.250 0.625
Ni1 0.000 0.000 0.500
```

**Formation energy from the elements**: 0.4515 eV/atom
**DOS at the Fermi energy**: 19.8 states/eV per cell
**E_tot**: -9.140 eV per atom
**M_tot**: 0.00 μB per formula unit

---

[8]
DFT (GGA-PBE) results for crystalline TaTc2Ni at its relaxed geometry.

Structure (CIF):
```
data_TaTc2Ni
_cell_length_a 6.171
_cell_length_b 6.171
_cell_length_c 6.171
_cell_angle_alpha 90.00
_cell_angle_beta 90.00
_cell_angle_gamma 90.00
_symmetry_space_group_name_H-M 'F m -3 m'
_symmetry_Int_Tables_number 225
_symmetry_space_group_name_Hall '-F 4 2 3'
loop_
_atom_site_label
_atom_site_fract_x
_atom_site_fract_y
_atom_site_fract_z
Ta1 0.000 0.000 0.000
Tc1 0.250 0.250 0.250
Ni1 0.000 0.000 0.500
```

**Formation energy from the elements**: 0.0308 eV/atom
**DOS at the Fermi energy**: 21.3 states/eV per cell
**E_tot**: -9.561 eV per atom
**M_tot**: 0.00 μB per formula unit

---

[9]
DFT (GGA-PBE) results for crystalline TaTc2Ni at its relaxed geometry.

Structure (CIF):
```
data_TaTc2Ni
_cell_length_a 2.663
_cell_length_b 2.663
_cell_length_c 8.253
_cell_angle_alpha 90.00
_cell_angle_beta 90.00
_cell_angle_gamma 90.00
_symmetry_space_group_name_H-M 'P 4/m m m'
_symmetry_Int_Tables_number 123
_symmetry_space_group_name_Hall '-P 4 2'
loop_
_atom_site_label
_atom_site_fract_x
_atom_site_fract_y
_atom_site_fract_z
Ta1 0.000 0.000 0.000
Tc1 0.500 0.500 0.277
Ni1 0.000 0.000 0.500
```

**Formation energy from the elements**: 0.0743 eV/atom
**DOS at the Fermi energy**: 4.0 states/eV per cell
**E_tot**: -9.517 eV per atom
**M_tot**: 0.00 μB per formula unit

---

[10]
DFT (GGA-PBE) results for crystalline Ta2TcNi at its relaxed geometry.

Structure (CIF):
```
data_Ta2TcNi
_cell_length_a 2.7996
_cell_length_b 2.7996
_cell_length_c 27.9462
_cell_angle_alpha 90.00
_cell_angle_beta 90.00
_cell_angle_gamma 120.00
_symmetry_space_group_name_H-M 'R 3 m'
_symmetry_Int_Tables_number 160
_symmetry_space_group_name_Hall 'R 3 -2"'
loop_
_atom_site_label
_atom_site_fract_x
_atom_site_fract_y
_atom_site_fract_z
Ta1 0.0000 0.0000 0.0000
Ta2 0.0000 0.0000 0.2388
Tc1 0.0000 0.0000 0.4851
Ni1 0.0000 0.0000 0.7450
```

**Formation energy from the elements**: 0.2019 eV/atom
**DOS at the Fermi energy**: 14.9 states/eV per cell
**E_tot**: -9.761 eV per atom
**M_tot**: 0.00 μB per formula unit

---

[11]
DFT (GGA-PBE) results for crystalline Ta3TcNi at its relaxed geometry.

Structure (CIF):
```
data_Ta3TcNi
_cell_length_a 4.760
_cell_length_b 4.760
_cell_length_c 4.760
_cell_angle_alpha 90.00
_cell_angle_beta 90.00
_cell_angle_gamma 90.00
_symmetry_space_group_name_H-M 'P m -3 m'
_symmetry_Int_Tables_number 221
_symmetry_space_group_name_Hall '-P 4 2 3'
loop_
_atom_site_label
_atom_site_fract_x
_atom_site_fract_y
_atom_site_fract_z
Ta1 0.000 0.000 0.500
Tc1 0.000 0.000 0.000
Ni1 0.500 0.500 0.500
```

**Formation energy from the elements**: 1.4213 eV/atom
**DOS at the Fermi energy**: 5.4 states/eV per cell
**E_tot**: -8.920 eV per atom
**M_tot**: 0.00 μB per formula unit

---

[12]
DFT (GGA-PBE) results for crystalline Ta2TcNi at its relaxed geometry.

Structure (CIF):
```
data_Ta2TcNi
_cell_length_a 3.238
_cell_length_b 3.238
_cell_length_c 5.932
_cell_angle_alpha 90.00
_cell_angle_beta 90.00
_cell_angle_gamma 90.00
_symmetry_space_group_name_H-M 'P 4 m m'
_symmetry_Int_Tables_number 99
loop_
_symmetry_equiv_pos_as_xyz
'x,y,z'
'-y,x,z'
'-x,-y,z'
'y,-x,z'
'-x,y,z'
'y,x,z'
'x,-y,z'
'-y,-x,z'
loop_
_atom_site_label
_atom_site_fract_x
_atom_site_fract_y
_atom_site_fract_z
Ta1 0.000 0.000 0.000
Ta2 0.500 0.500 0.299
Tc1 0.000 0.000 0.532
Ni1 0.500 0.500 0.790
```

**Formation energy from the elements**: -0.1348 eV/atom
**DOS at the Fermi energy**: 3.9 states/eV per cell
**E_tot**: -10.098 eV per atom
**M_tot**: 0.00 μB per formula unit

---

[13]
DFT (GGA-PBE) results for crystalline TaTc2Ni at its relaxed geometry.

Structure (CIF):
```
data_TaTc2Ni
_cell_length_a 2.781
_cell_length_b 2.781
_cell_length_c 7.576
_cell_angle_alpha 90.00
_cell_angle_beta 90.00
_cell_angle_gamma 90.00
_symmetry_space_group_name_H-M 'P 4 m m'
_symmetry_Int_Tables_number 99
loop_
_symmetry_equiv_pos_as_xyz
'x,y,z'
'-y,x,z'
'-x,-y,z'
'y,-x,z'
'-x,y,z'
'y,x,z'
'x,-y,z'
'-y,-x,z'
loop_
_atom_site_label
_atom_site_fract_x
_atom_site_fract_y
_atom_site_fract_z
Ta1 0.000 0.000 0.000
Tc1 0.000 0.000 0.514
Tc2 0.500 0.500 0.281
Ni1 0.500 0.500 0.751
```

**Formation energy from the elements**: -0.0069 eV/atom
**DOS at the Fermi energy**: 3.2 states/eV per cell
**E_tot**: -9.598 eV per atom
**M_tot**: 0.00 μB per formula unit

---

[14]
DFT (GGA-PBE) results for crystalline TaTc2Ni at its relaxed geometry.

Structure (CIF):
```
data_TaTc2Ni
_cell_length_a 3.870
_cell_length_b 3.870
_cell_length_c 7.814
_cell_angle_alpha 90.00
_cell_angle_beta 90.00
_cell_angle_gamma 90.00
_symmetry_space_group_name_H-M 'I 4/m m m'
_symmetry_Int_Tables_number 139
_symmetry_space_group_name_Hall '-I 4 2'
loop_
_atom_site_label
_atom_site_fract_x
_atom_site_fract_y
_atom_site_fract_z
Ta1 0.000 0.000 0.000
Tc1 0.000 0.500 0.250
Ni1 0.000 0.000 0.500
```

**Formation energy from the elements**: 0.0083 eV/atom
**DOS at the Fermi energy**: 9.6 states/eV per cell
**E_tot**: -9.583 eV per atom
**M_tot**: 0.00 μB per formula unit

---

[15]
DFT (GGA-PBE) results for crystalline TaTc2Ni at its relaxed geometry.

Structure (CIF):
```
data_TaTc2Ni
_cell_length_a 3.222
_cell_length_b 4.272
_cell_length_c 8.596
_cell_angle_alpha 90.00
_cell_angle_beta 90.00
_cell_angle_gamma 90.00
_symmetry_space_group_name_H-M 'I m m m'
_symmetry_Int_Tables_number 71
_symmetry_space_group_name_Hall '-I 2 2'
loop_
_atom_site_label
_atom_site_fract_x
_atom_site_fract_y
_atom_site_fract_z
Ta1 0.000 0.000 0.000
Tc1 0.000 0.500 0.257
Ni1 0.000 0.000 0.500
```

**Formation energy from the elements**: 0.0318 eV/atom
**DOS at the Fermi energy**: 11.3 states/eV per cell
**E_tot**: -9.560 eV per atom
**M_tot**: 0.00 μB per formula unit

---

[16]
DFT (GGA-PBE) results for crystalline TaTcNi4 at its relaxed geometry.

Structure (CIF):
```
data_TaTcNi4
_cell_length_a 6.677
_cell_length_b 6.677
_cell_length_c 6.677
_cell_angle_alpha 90.00
_cell_angle_beta 90.00
_cell_angle_gamma 90.00
_symmetry_space_group_name_H-M 'F -4 3 m'
_symmetry_Int_Tables_number 216
_symmetry_space_group_name_Hall 'F -4 2 3'
loop_
_atom_site_label
_atom_site_fract_x
_atom_site_fract_y
_atom_site_fract_z
Ta1 0.000 0.000 0.000
Tc1 0.250 0.250 0.750
Ni1 0.124 0.124 0.376
```

**Formation energy from the elements**: -0.1540 eV/atom
**DOS at the Fermi energy**: 38.2 states/eV per cell
**E_tot**: -7.711 eV per atom
**M_tot**: 0.11 μB per formula unit

---

[17]
DFT (GGA-PBE) results for crystalline TaTc2Ni at its relaxed geometry.

Structure (CIF):
```
data_TaTc2Ni
_cell_length_a 2.7406
_cell_length_b 2.7406
_cell_length_c 27.3555
_cell_angle_alpha 90.00
_cell_angle_beta 90.00
_cell_angle_gamma 120.00
_symmetry_space_group_name_H-M 'R -3 m'
_symmetry_Int_Tables_number 166
_symmetry_space_group_name_Hall '-R 3 2"'
loop_
_atom_site_label
_atom_site_fract_x
_atom_site_fract_y
_atom_site_fract_z
Ta1 0.0000 0.0000 0.0000
Tc1 0.0000 0.0000 0.2429
Ni1 0.0000 0.0000 0.5000
```

**Formation energy from the elements**: 0.2028 eV/atom
**DOS at the Fermi energy**: 15.3 states/eV per cell
**E_tot**: -9.389 eV per atom
**M_tot**: 0.00 μB per formula unit

---

[18]
DFT (GGA-PBE) results for crystalline TaTc2Ni at its relaxed geometry.

Structure (CIF):
```
data_TaTc2Ni
_cell_length_a 6.167
_cell_length_b 6.167
_cell_length_c 6.167
_cell_angle_alpha 90.00
_cell_angle_beta 90.00
_cell_angle_gamma 90.00
_symmetry_space_group_name_H-M 'F -4 3 m'
_symmetry_Int_Tables_number 216
_symmetry_space_group_name_Hall 'F -4 2 3'
loop_
_atom_site_label
_atom_site_fract_x
_atom_site_fract_y
_atom_site_fract_z
Ta1 0.000 0.000 0.000
Tc1 0.000 0.000 0.500
Tc2 0.250 0.250 0.250
Ni1 0.250 0.250 0.750
```

**Formation energy from the elements**: 0.0034 eV/atom
**DOS at the Fermi energy**: 13.4 states/eV per cell
**E_tot**: -9.588 eV per atom
**M_tot**: 0.00 μB per formula unit

---

[19]
DFT (GGA-PBE) results for crystalline Ta2TcNi at its relaxed geometry.

Structure (CIF):
```
data_Ta2TcNi
_cell_length_a 3.350
_cell_length_b 4.395
_cell_length_c 8.443
_cell_angle_alpha 90.00
_cell_angle_beta 90.00
_cell_angle_gamma 90.00
_symmetry_space_group_name_H-M 'C m m 2'
_symmetry_Int_Tables_number 35
loop_
_symmetry_equiv_pos_as_xyz
'x,y,z'
'-x,-y,z'
'-x,y,z'
'x,-y,z'
'x+1/2,y+1/2,z'
'-x+1/2,-y+1/2,z'
'-x+1/2,y+1/2,z'
'x+1/2,-y+1/2,z'
loop_
_atom_site_label
_atom_site_fract_x
_atom_site_fract_y
_atom_site_fract_z
Ta1 0.000 0.000 0.000
Ta2 0.000 0.500 0.282
Tc1 0.000 0.000 0.541
Ni1 0.000 0.500 0.763
```

**Formation energy from the elements**: -0.0247 eV/atom
**DOS at the Fermi energy**: 5.5 states/eV per cell
**E_tot**: -9.988 eV per atom
**M_tot**: 0.00 μB per formula unit

---

[20]
DFT (GGA-PBE) results for crystalline Ta2TcNi at its relaxed geometry.

Structure (CIF):
```
data_Ta2TcNi
_cell_length_a 3.0820
_cell_length_b 3.0820
_cell_length_c 23.6329
_cell_angle_alpha 90.00
_cell_angle_beta 90.00
_cell_angle_gamma 120.00
_symmetry_space_group_name_H-M 'R -3 m'
_symmetry_Int_Tables_number 166
_symmetry_space_group_name_Hall '-R 3 2"'
loop_
_atom_site_label
_atom_site_fract_x
_atom_site_fract_y
_atom_site_fract_z
Ta1 0.0000 0.0000 0.2480
Tc1 0.0000 0.0000 0.0000
Ni1 0.0000 0.0000 0.5000
```

**Formation energy from the elements**: 0.1052 eV/atom
**DOS at the Fermi energy**: 18.5 states/eV per cell
**E_tot**: -9.858 eV per atom
**M_tot**: 0.00 μB per formula unit